Entry 1:
{
  "formula": "Sc2IrSO",
  "functional": "GGA-PBE",
  "state": "optimized geometry",
  "lattice": [[4.911, 0.000, 0.000], [0.000, 4.911, 0.000], [0.000, 0.000, 3.518]],
  "species": ["Sc", "Sc", "Ir", "S", "O"],
  "frac_coords": [[0.000, 0.500, 0.000], [0.500, 0.000, 0.000], [0.000, 0.000, 0.500], [0.500, 0.500, 0.000], [0.500, 0.500, 0.500]],
  "final_energy_ev_per_cell": -33.29,
  "spacegroup": "No. 123",
  "raw_formation_energy_ev_per_atom": -0.535,
  "volume_a3_per_cell": 85,
  "total_magnetization_mub_per_cell": 0.00
}

Entry 2:
{
  "formula": "CsP2SCl",
  "functional": "GGA-PBE",
  "state": "optimized geometry",
  "lattice": [[7.549, 0.000, 0.000], [0.000, 7.549, 0.000], [0.000, 0.000, 6.875]],
  "species": ["Cs", "P", "P", "S", "Cl"],
  "frac_coords": [[0.000, 0.000, 0.000], [0.000, 0.500, 0.000], [0.500, 0.000, 0.000], [0.000, 0.000, 0.500], [0.500, 0.500, 0.500]],
  "final_energy_ev_per_cell": -10.05,
  "spacegroup": "No. 123",
  "raw_formation_energy_ev_per_atom": 1.519,
  "volume_a3_per_cell": 392,
  "total_magnetization_mub_per_cell": 3.99
}

Entry 3:
{
  "formula": "LiZr4Rh",
  "functional": "GGA-PBE",
  "state": "optimized geometry",
  "lattice": [[0.000, 4.011, 4.011], [4.011, 0.000, 4.011], [4.011, 4.011, 0.000]],
  "species": ["Li", "Zr", "Zr", "Zr", "Zr", "Rh"],
  "frac_coords": [[0.000, 0.000, 0.000], [0.376, 0.376, 0.376], [0.376, 0.376, 0.871], [0.376, 0.871, 0.376], [0.871, 0.376, 0.376], [0.750, 0.750, 0.750]],
  "final_energy_ev_per_cell": -40.72,
  "ef_kj_per_mol_atoms": 44,
  "spacegroup": "No. 216",
  "volume_a3_per_cell": 129,
  "total_magnetization_mub_per_cell": 0.00
}

Entry 4:
{
  "formula": "Rb2Pu3ZnO12",
  "functional": "GGA-PBE",
  "state": "optimized geometry",
  "lattice": [[3.937, 2.273, 5.903], [-3.937, 2.273, 5.903], [0.000, -4.547, 5.903]],
  "species": ["Rb", "Rb", "Pu", "Pu", "Pu", "Zn", "O", "O", "O", "O", "O", "O", "O", "O", "O", "O", "O", "O"],
  "frac_coords": [[0.125, 0.125, 0.125], [0.875, 0.875, 0.875], [0.000, 0.500, 0.500], [0.500, 0.000, 0.500], [0.500, 0.500, 0.000], [0.500, 0.500, 0.500], [0.178, 0.564, 0.564], [0.180, 0.180, 0.568], [0.180, 0.568, 0.180], [0.432, 0.820, 0.820], [0.436, 0.436, 0.822], [0.436, 0.822, 0.436], [0.564, 0.178, 0.564], [0.564, 0.564, 0.178], [0.568, 0.180, 0.180], [0.820, 0.432, 0.820], [0.820, 0.820, 0.432], [0.822, 0.436, 0.436]],
  "final_energy_ev_per_cell": -145.70,
  "spacegroup": "No. 166",
  "raw_formation_energy_ev_per_atom": -2.222,
  "volume_a3_per_cell": 317,
  "total_magnetization_mub_per_cell": 4.00
}

Entry 5:
{
  "formula": "Li2CrIr",
  "functional": "GGA-PBE",
  "state": "optimized geometry",
  "lattice": [[2.386, -4.366, 0.000], [2.386, 4.366, 0.000], [0.000, 0.000, 2.591]],
  "species": ["Li", "Li", "Cr", "Ir"],
  "frac_coords": [[0.000, 0.500, 0.000], [0.500, 0.000, 0.000], [0.000, 0.000, 0.500], [0.500, 0.500, 0.500]],
  "final_energy_ev_per_cell": -21.33,
  "ef_kj_per_mol_atoms": 24,
  "spacegroup": "No. 65",
  "volume_a3_per_cell": 54,
  "total_magnetization_mub_per_cell": 1.30
}

Entry 6:
{
  "formula": "KSBr",
  "functional": "GGA-PBE",
  "state": "optimized geometry",
  "lattice": [[3.302, -3.299, 0.000], [3.302, 3.299, 0.000], [-1.284, 0.000, 11.418]],
  "species": ["K", "K", "S", "S", "Br", "Br"],
  "frac_coords": [[0.224, 0.224, 0.356], [0.776, 0.776, 0.644], [0.088, 0.088, 0.939], [0.912, 0.912, 0.061], [0.278, 0.278, 0.648], [0.722, 0.722, 0.352]],
  "final_energy_ev_per_cell": -19.54,
  "spacegroup": "No. 12",
  "raw_formation_energy_ev_per_atom": -0.957,
  "volume_a3_per_cell": 249,
  "total_magnetization_mub_per_cell": 2.00
}

Entry 7:
{
  "formula": "ZrTi2Be",
  "functional": "GGA-PBE",
  "state": "optimized geometry",
  "lattice": [[4.007, 0.000, 0.000], [0.000, 4.007, 0.000], [0.000, 0.000, 4.110]],
  "species": ["Zr", "Ti", "Ti", "Be"],
  "frac_coords": [[0.000, 0.000, 0.000], [0.000, 0.500, 0.500], [0.500, 0.000, 0.500], [0.500, 0.500, 0.000]],
  "final_energy_ev_per_cell": -27.93,
  "ef_kj_per_mol_atoms": 3,
  "spacegroup": "No. 123",
  "volume_a3_per_cell": 66,
  "total_magnetization_mub_per_cell": 0.00
}

Entry 8:
{
  "formula": "NpUC2",
  "functional": "GGA-PBE",
  "state": "optimized geometry",
  "lattice": [[1.719, 0.992, 5.814], [-1.719, 0.992, 5.814], [0.000, -1.985, 5.814]],
  "species": ["Np", "U", "C", "C"],
  "frac_coords": [[0.000, 0.000, 0.000], [0.164, 0.164, 0.164], [0.415, 0.415, 0.415], [0.584, 0.584, 0.584]],
  "final_energy_ev_per_cell": -42.14,
  "ef_kj_per_mol_atoms": 13,
  "spacegroup": "No. 160",
  "volume_a3_per_cell": 59,
  "total_magnetization_mub_per_cell": 3.86
}

Entry 9:
{
  "formula": "NdSm4H10",
  "functional": "GGA-PBE",
  "state": "optimized geometry",
  "lattice": [[1.905, 1.100, 15.568], [-1.905, 1.100, 15.568], [0.000, -2.200, 15.568]],
  "species": ["Nd", "Sm", "Sm", "Sm", "Sm", "H", "H", "H", "H", "H", "H", "H", "H", "H", "H"],
  "frac_coords": [[0.000, 0.000, 0.000], [0.200, 0.200, 0.200], [0.401, 0.401, 0.401], [0.599, 0.599, 0.599], [0.800, 0.800, 0.800], [0.051, 0.051, 0.051], [0.150, 0.150, 0.150], [0.250, 0.250, 0.250], [0.351, 0.351, 0.351], [0.450, 0.450, 0.450], [0.550, 0.550, 0.550], [0.649, 0.649, 0.649], [0.750, 0.750, 0.750], [0.850, 0.850, 0.850], [0.949, 0.949, 0.949]],
  "final_energy_ev_per_cell": -67.18,
  "spacegroup": "No. 166",
  "volume_a3_per_cell": 196,
  "total_magnetization_mub_per_cell": 0.00
}

Entry 10:
{
  "formula": "Hf4Zr3Ti",
  "functional": "GGA-PBE",
  "state": "optimized geometry",
  "lattice": [[3.100, 0.000, 0.000], [0.000, 4.841, 0.000], [0.000, 0.000, 11.720]],
  "species": ["Hf", "Hf", "Hf", "Hf", "Zr", "Zr", "Zr", "Ti"],
  "frac_coords": [[0.000, 0.000, 0.000], [0.000, 0.500, 0.353], [0.500, 0.000, 0.487], [0.500, 0.500, 0.861], [0.000, 0.000, 0.743], [0.000, 0.500, 0.609], [0.500, 0.500, 0.116], [0.500, 0.000, 0.242]],
  "final_energy_ev_per_cell": -73.18,
  "ef_kj_per_mol_atoms": 2,
  "spacegroup": "No. 25",
  "volume_a3_per_cell": 176,
  "total_magnetization_mub_per_cell": 0.00
}

Entry 11:
{
  "formula": "Pu3As2Pd7",
  "functional": "GGA-PBE",
  "state": "optimized geometry",
  "lattice": [[2.769, 1.599, 8.545], [-2.769, 1.599, 8.545], [0.000, -3.197, 8.545]],
  "species": ["Pu", "Pu", "Pu", "As", "As", "Pd", "Pd", "Pd", "Pd", "Pd", "Pd", "Pd"],
  "frac_coords": [[0.000, 0.000, 0.000], [0.144, 0.144, 0.144], [0.856, 0.856, 0.856], [0.331, 0.331, 0.331], [0.669, 0.669, 0.669], [0.079, 0.582, 0.582], [0.418, 0.418, 0.921], [0.418, 0.921, 0.418], [0.500, 0.500, 0.500], [0.582, 0.079, 0.582], [0.582, 0.582, 0.079], [0.921, 0.418, 0.418]],
  "final_energy_ev_per_cell": -94.53,
  "ef_kj_per_mol_atoms": -47,
  "spacegroup": "No. 166",
  "volume_a3_per_cell": 227,
  "total_magnetization_mub_per_cell": 16.71
}

Entry 12:
{
  "formula": "Ho3Co7Ni2",
  "functional": "GGA-PBE",
  "state": "optimized geometry",
  "lattice": [[2.464, 1.423, 8.204], [-2.464, 1.423, 8.204], [0.000, -2.845, 8.204]],
  "species": ["Ho", "Ho", "Ho", "Co", "Co", "Co", "Co", "Co", "Co", "Co", "Ni", "Ni"],
  "frac_coords": [[0.000, 0.000, 0.000], [0.139, 0.139, 0.139], [0.861, 0.861, 0.861], [0.081, 0.582, 0.582], [0.418, 0.418, 0.919], [0.418, 0.919, 0.418], [0.500, 0.500, 0.500], [0.582, 0.081, 0.582], [0.582, 0.582, 0.081], [0.919, 0.418, 0.418], [0.334, 0.334, 0.334], [0.666, 0.666, 0.666]],
  "final_energy_ev_per_cell": -77.87,
  "ef_kj_per_mol_atoms": -23,
  "spacegroup": "No. 166",
  "volume_a3_per_cell": 173,
  "total_magnetization_mub_per_cell": 8.49
}

Entry 13:
{
  "formula": "Ac2SmSn",
  "functional": "GGA-PBE",
  "state": "optimized geometry",
  "lattice": [[0.000, 4.159, 4.159], [4.159, 0.000, 4.159], [4.159, 4.159, 0.000]],
  "species": ["Ac", "Ac", "Sm", "Sn"],
  "frac_coords": [[0.250, 0.250, 0.250], [0.750, 0.750, 0.750], [0.000, 0.000, 0.000], [0.500, 0.500, 0.500]],
  "final_energy_ev_per_cell": -17.59,
  "ef_kj_per_mol_atoms": -16,
  "spacegroup": "No. 225",
  "volume_a3_per_cell": 144,
  "total_magnetization_mub_per_cell": 0.00
}

Entry 14:
{
  "formula": "La2PmPrHo",
  "functional": "GGA-PBE",
  "state": "optimized geometry",
  "lattice": [[6.542, 0.000, 0.000], [0.000, 7.955, 0.000], [0.000, 0.000, 6.861]],
  "species": ["La", "La", "La", "La", "Pm", "Pm", "Pr", "Pr", "Ho", "Ho"],
  "frac_coords": [[0.250, 0.206, 0.209], [0.250, 0.794, 0.209], [0.750, 0.206, 0.791], [0.750, 0.794, 0.791], [0.250, 0.500, 0.910], [0.750, 0.500, 0.090], [0.250, 0.000, 0.686], [0.750, 0.000, 0.314], [0.000, 0.500, 0.500], [0.500, 0.500, 0.500]],
  "final_energy_ev_per_cell": -45.89,
  "ef_kj_per_mol_atoms": 20,
  "spacegroup": "No. 51",
  "volume_a3_per_cell": 357,
  "total_magnetization_mub_per_cell": 0.00
}

Entry 15:
{
  "formula": "Na2H3I6",
  "functional": "GGA-PBE",
  "state": "optimized geometry",
  "lattice": [[7.717, -4.690, 0.000], [7.717, 4.690, 0.000], [-3.866, 0.000, 12.603]],
  "species": ["Na", "Na", "Na", "Na", "H", "H", "H", "H", "H", "H", "I", "I", "I", "I", "I", "I", "I", "I", "I", "I", "I", "I"],
  "frac_coords": [[0.140, 0.734, 0.000], [0.266, 0.860, 0.500], [0.734, 0.140, 0.500], [0.860, 0.266, 0.000], [0.085, 0.915, 0.750], [0.253, 0.462, 0.250], [0.462, 0.253, 0.750], [0.538, 0.747, 0.250], [0.747, 0.538, 0.750], [0.915, 0.085, 0.250], [0.012, 0.829, 0.608], [0.127, 0.450, 0.112], [0.171, 0.988, 0.892], [0.385, 0.465, 0.387], [0.450, 0.127, 0.612], [0.465, 0.385, 0.887], [0.535, 0.615, 0.113], [0.550, 0.873, 0.388], [0.615, 0.535, 0.613], [0.829, 0.012, 0.108], [0.873, 0.550, 0.888], [0.988, 0.171, 0.392]],
  "final_energy_ev_per_cell": -51.95,
  "spacegroup": "No. 15",
  "volume_a3_per_cell": 912,
  "total_magnetization_mub_per_cell": 0.00
}

Entry 16:
{
  "formula": "BiHNO2",
  "functional": "GGA-PBE",
  "state": "optimized geometry",
  "lattice": [[4.094, 0.000, 0.000], [0.000, 4.094, 0.000], [0.000, 0.000, 2.952]],
  "species": ["Bi", "H", "N", "O", "O"],
  "frac_coords": [[0.000, 0.000, 0.000], [0.500, 0.500, 0.500], [0.500, 0.500, 0.000], [0.000, 0.500, 0.500], [0.500, 0.000, 0.500]],
  "final_energy_ev_per_cell": -21.79,
  "spacegroup": "No. 123",
  "volume_a3_per_cell": 49,
  "total_magnetization_mub_per_cell": 1.00
}

Entry 17:
{
  "formula": "BaNi4Sn12",
  "functional": "GGA-PBE",
  "state": "optimized geometry",
  "lattice": [[-4.670, 4.670, 4.670], [4.670, -4.670, 4.670], [4.670, 4.670, -4.670]],
  "species": ["Ba", "Ni", "Ni", "Ni", "Ni", "Sn", "Sn", "Sn", "Sn", "Sn", "Sn", "Sn", "Sn", "Sn", "Sn", "Sn", "Sn"],
  "frac_coords": [[0.000, 0.000, 0.000], [0.000, 0.000, 0.500], [0.000, 0.500, 0.000], [0.500, 0.000, 0.000], [0.500, 0.500, 0.500], [0.169, 0.829, 0.340], [0.171, 0.340, 0.510], [0.171, 0.660, 0.831], [0.340, 0.169, 0.829], [0.340, 0.510, 0.171], [0.490, 0.829, 0.660], [0.510, 0.171, 0.340], [0.660, 0.490, 0.829], [0.660, 0.831, 0.171], [0.829, 0.340, 0.169], [0.829, 0.660, 0.490], [0.831, 0.171, 0.660]],
  "final_energy_ev_per_cell": -76.76,
  "ef_kj_per_mol_atoms": -21,
  "spacegroup": "No. 204",
  "volume_a3_per_cell": 407,
  "total_magnetization_mub_per_cell": 0.00
}

Entry 18:
{
  "formula": "ScGe2Rh3",
  "functional": "GGA-PBE",
  "state": "optimized geometry",
  "lattice": [[8.215, -1.995, 0.000], [8.215, 1.995, 0.000], [-3.062, 0.000, 8.987]],
  "species": ["Sc", "Sc", "Sc", "Ge", "Ge", "Ge", "Ge", "Ge", "Ge", "Rh", "Rh", "Rh", "Rh", "Rh", "Rh", "Rh", "Rh", "Rh"],
  "frac_coords": [[0.000, 0.000, 0.000], [0.164, 0.164, 0.707], [0.836, 0.836, 0.293], [0.188, 0.188, 0.124], [0.362, 0.362, 0.544], [0.458, 0.458, 0.212], [0.542, 0.542, 0.788], [0.638, 0.638, 0.456], [0.812, 0.812, 0.876], [0.037, 0.037, 0.325], [0.214, 0.214, 0.392], [0.315, 0.315, 0.044], [0.388, 0.388, 0.815], [0.500, 0.500, 0.500], [0.612, 0.612, 0.185], [0.685, 0.685, 0.956], [0.786, 0.786, 0.608], [0.963, 0.963, 0.675]],
  "final_energy_ev_per_cell": -125.54,
  "ef_kj_per_mol_atoms": -68,
  "spacegroup": "No. 12",
  "volume_a3_per_cell": 294,
  "total_magnetization_mub_per_cell": 0.00
}

Entry 19:
{
  "formula": "Mg4CdRh3",
  "functional": "GGA-PBE",
  "state": "optimized geometry",
  "lattice": [[2.255, 1.302, 7.348], [-2.255, 1.302, 7.348], [0.000, -2.604, 7.348]],
  "species": ["Mg", "Mg", "Mg", "Mg", "Cd", "Rh", "Rh", "Rh"],
  "frac_coords": [[0.118, 0.118, 0.118], [0.369, 0.369, 0.369], [0.631, 0.631, 0.631], [0.882, 0.882, 0.882], [0.500, 0.500, 0.500], [0.000, 0.000, 0.000], [0.246, 0.246, 0.246], [0.754, 0.754, 0.754]],
  "final_energy_ev_per_cell": -32.81,
  "ef_kj_per_mol_atoms": -42,
  "spacegroup": "No. 166",
  "volume_a3_per_cell": 129,
  "total_magnetization_mub_per_cell": 0.00
}

Entry 20:
{
  "formula": "Te2RuAuI",
  "functional": "GGA-PBE",
  "state": "optimized geometry",
  "lattice": [[5.464, 0.000, 0.000], [0.000, 5.464, 0.000], [0.000, 0.000, 5.522]],
  "species": ["Te", "Te", "Ru", "Au", "I"],
  "frac_coords": [[0.000, 0.500, 0.000], [0.500, 0.000, 0.000], [0.000, 0.000, 0.500], [0.500, 0.500, 0.000], [0.500, 0.500, 0.500]],
  "final_energy_ev_per_cell": -14.31,
  "spacegroup": "No. 123",
  "raw_formation_energy_ev_per_atom": 1.215,
  "volume_a3_per_cell": 165,
  "total_magnetization_mub_per_cell": 3.81
}

Entry 21:
{
  "formula": "CaCoPH",
  "functional": "GGA-PBE",
  "state": "optimized geometry",
  "lattice": [[3.790, 0.000, 0.000], [0.000, 3.790, 0.000], [0.000, 0.000, 7.819]],
  "species": ["Ca", "Ca", "Co", "Co", "P", "P", "H", "H"],
  "frac_coords": [[0.250, 0.250, 0.160], [0.750, 0.750, 0.840], [0.250, 0.750, 0.500], [0.750, 0.250, 0.500], [0.250, 0.250, 0.647], [0.750, 0.750, 0.353], [0.250, 0.750, 0.000], [0.750, 0.250, 0.000]],
  "final_energy_ev_per_cell": -42.04,
  "spacegroup": "No. 129",
  "volume_a3_per_cell": 112,
  "total_magnetization_mub_per_cell": 1.01
}

Entry 22:
{
  "formula": "YTc2B2",
  "functional": "GGA-PBE",
  "state": "optimized geometry",
  "lattice": [[4.281, 0.000, 0.000], [0.000, 3.205, 0.000], [-0.972, 0.000, 9.710]],
  "species": ["Y", "Y", "Tc", "Tc", "Tc", "Tc", "B", "B", "B", "B"],
  "frac_coords": [[0.195, 0.250, 0.243], [0.805, 0.750, 0.757], [0.249, 0.750, 0.498], [0.345, 0.250, 0.907], [0.655, 0.750, 0.093], [0.751, 0.250, 0.502], [0.122, 0.750, 0.016], [0.284, 0.250, 0.660], [0.716, 0.750, 0.340], [0.878, 0.250, 0.984]],
  "final_energy_ev_per_cell": -84.61,
  "ef_kj_per_mol_atoms": -34,
  "spacegroup": "No. 11",
  "volume_a3_per_cell": 133,
  "total_magnetization_mub_per_cell": 0.00
}

Entry 23:
{
  "formula": "Pr7Nd3Tm",
  "functional": "GGA-PBE",
  "state": "optimized geometry",
  "lattice": [[6.513, -5.749, 0.000], [6.513, 5.749, 0.000], [-2.784, 0.000, 5.352]],
  "species": ["Pr", "Pr", "Pr", "Pr", "Pr", "Pr", "Pr", "Nd", "Nd", "Nd", "Tm"],
  "frac_coords": [[0.000, 0.000, 0.000], [0.098, 0.513, 0.305], [0.289, 0.289, 0.789], [0.487, 0.902, 0.695], [0.513, 0.098, 0.305], [0.711, 0.711, 0.211], [0.902, 0.487, 0.695], [0.292, 0.708, 0.000], [0.500, 0.500, 0.500], [0.708, 0.292, 0.000], [0.000, 0.000, 0.500]],
  "final_energy_ev_per_cell": -49.78,
  "ef_kj_per_mol_atoms": 22,
  "spacegroup": "No. 12",
  "volume_a3_per_cell": 401,
  "total_magnetization_mub_per_cell": 0.00
}